Record 1
PBE CuAgNF2, optimized geometry; N(E_F) = 0.3412 states/eV/atom; final energy = -3.388 eV per atom; raw formation energy = 0.4151 eV per atom
1.0
4.3768 0.0000 0.0000
0.0000 4.3768 0.0000
0.0000 0.0000 3.9872
Cu Ag N F
1 1 1 2
direct
0.0000 0.0000 0.0000
0.5000 0.5000 0.5000
0.5000 0.5000 0.0000
0.0000 0.5000 0.5000
0.5000 0.0000 0.5000

***

Record 2
PBE CuAgNF2, optimized geometry; N(E_F) = 0.4042 states/eV/atom; final energy = -3.928 eV per atom; raw formation energy = -0.1249 eV per atom
1.0
4.1588 0.0000 0.0000
0.0000 4.1588 0.0000
0.0000 0.0000 3.7121
Cu Ag N F
1 1 1 2
direct
0.0000 0.0000 0.0000
0.5000 0.5000 0.5000
0.0000 0.0000 0.5000
0.0000 0.5000 0.0000
0.5000 0.0000 0.0000

***

Record 3
PBE Na2Cu3AgF8, optimized geometry; N(E_F) = 0.7428 states/eV/atom; final energy = -4.061 eV per atom; raw formation energy = -1.7214 eV per atom
1.0
3.2704 1.8881 5.3837
-3.2704 1.8881 5.3837
0.0000 -3.7763 5.3837
Na Cu Ag F
2 3 1 8
direct
0.0000 0.0000 0.0000
0.3858 0.3858 0.3858
0.0026 0.0026 0.4954
0.0026 0.4954 0.0026
0.4954 0.0026 0.0026
0.6197 0.6197 0.6197
0.1804 0.7536 0.7536
0.2474 0.2474 0.2474
0.2474 0.2474 0.8095
0.2474 0.8095 0.2474
0.7536 0.1805 0.7536
0.7536 0.7536 0.1805
0.7585 0.7585 0.7585
0.8095 0.2474 0.2474

***

Record 4
PBE NaCuAg2F4, optimized geometry; N(E_F) = 0.3243 states/eV/atom; final energy = -3.721 eV per atom; raw formation energy = -1.3959 eV per atom
1.0
4.9728 0.0000 0.0000
0.6966 4.9340 0.0000
2.4747 2.1304 4.5905
Na Cu Ag F
1 1 2 4
direct
0.0000 0.0000 0.0000
0.2575 0.7442 0.4976
0.5134 0.4869 0.0029
0.6740 0.3257 0.4996
0.0542 0.5315 0.9141
0.1620 0.2111 0.5152
0.4676 0.9516 0.0809
0.7829 0.8344 0.4864

***

Record 5
PBE NaCu3Ag4F12, optimized geometry; N(E_F) = 0.6001 states/eV/atom; final energy = -3.780 eV per atom; raw formation energy = -1.4071 eV per atom
1.0
-4.2254 4.2254 4.2254
4.2254 -4.2254 4.2254
4.2254 4.2254 -4.2254
Na Cu Ag F
1 3 4 12
direct
0.0000 0.0000 0.0000
0.0000 0.5000 0.5000
0.5000 0.0000 0.5000
0.5000 0.5000 0.0000
0.0000 0.0000 0.5000
0.0000 0.5000 0.0000
0.5000 0.0000 0.0000
0.5000 0.5000 0.5000
0.1548 0.3332 0.4880
0.1548 0.6668 0.8216
0.1784 0.8452 0.3332
0.3332 0.1784 0.8452
0.3332 0.4880 0.1548
0.4880 0.1548 0.3332
0.5120 0.8452 0.6668
0.6668 0.5120 0.8452
0.6668 0.8216 0.1548
0.8216 0.1548 0.6668
0.8452 0.3332 0.1784
0.8452 0.6668 0.5120

***

Record 6
PBE NaCuAgF4, optimized geometry; N(E_F) = 0.2859 states/eV/atom; final energy = -3.960 eV per atom; raw formation energy = -1.7102 eV per atom
1.0
-3.2998 3.4589 4.5191
3.2998 -3.4589 4.5191
3.2998 3.4589 -4.5191
Na Cu Ag F
2 2 2 8
direct
0.0000 0.0000 0.0000
0.5000 0.0000 0.5000
0.5000 0.0000 0.0000
0.5000 0.5000 0.5000
0.1169 0.3669 0.7500
0.8831 0.6331 0.2500
0.2885 0.2660 0.4775
0.2885 0.8110 0.0225
0.2952 0.7474 0.5479
0.3005 0.2526 0.0479
0.6995 0.7474 0.9521
0.7048 0.2526 0.4521
0.7115 0.1890 0.9775
0.7115 0.7340 0.5225